Entry 1:
This record from the Alexandria database describes crystalline Pm3Nd2Tm2 at its relaxed geometry. The functional is PBE.

Magnetic moment ... 0.00 μB/f.u.
Final energy ... -4.662 eV/atom
Energy of formation ... 0.0140 eV/atom
Symmetry ... No. 12
E above lowest polymorph ... 0 meV/atom

```
Pm3Nd2Tm2
1.0
-2.5773 1.8136 1.7779
4.9833 -2.1100 9.3807
-0.9913 7.8456 1.6014
Pm Nd Tm
3 2 2
Direct
0.4249 0.4303 0.7170
0.0000 0.0000 0.0000
0.5751 0.5697 0.2830
0.8507 0.8554 0.4330
0.1493 0.1446 0.5670
0.2884 0.2871 0.1410
0.7116 0.7129 0.8590
```

=====

Entry 2:
This record from the Alexandria database describes crystalline La8PrHo6 at its relaxed geometry. The functional is PBE.

Magnetic moment ... 0.00 μB/f.u.
Final energy ... -4.608 eV/atom
Energy of formation ... 0.1699 eV/atom
Symmetry ... No. 147

```
La8PrHo6
1.0
6.6485 0.0000 0.0000
0.0000 8.2285 -4.7507
0.0000 0.0000 9.5015
Ho La Pr
6 8 1
Direct
0.6577 0.8997 0.5567
0.6577 0.4433 0.3430
0.3423 0.3430 0.8997
0.3423 0.1003 0.4433
0.3423 0.5567 0.6570
0.6577 0.6570 0.1003
0.8279 0.7068 0.7546
0.1721 0.9522 0.7068
0.8759 0.3333 0.6667
0.1721 0.7546 0.0478
0.8279 0.2454 0.9522
0.1241 0.6667 0.3333
0.8279 0.0478 0.2932
0.1721 0.2932 0.2454
0.5000 0.0000 0.0000
```

=====

Entry 3:
This record from the Alexandria database describes crystalline LiTiBi3 at its relaxed geometry. The functional is PBE.

Magnetic moment ... 0.05 μB/f.u.
Final energy ... -3.765 eV/atom
Energy of formation ... 0.5250 eV/atom
Symmetry ... No. 221
E above lowest polymorph ... 445 meV/atom

```
LiTiBi3
1.0
-4.9218 0.4892 1.3385
-1.3775 -2.8665 -4.0175
0.3653 -4.2188 2.8850
Bi Ti Li
3 1 1
Direct
0.0000 0.0000 0.5000
0.5000 0.0000 0.0000
0.0000 0.5000 0.0000
0.5000 0.5000 0.5000
0.0000 0.0000 0.0000
```